## TaOsCl2 (PBE)

Data for an optimized crystal structure of TaOsCl2.

Lattice parameters (Å, degrees): 4.9107 4.9107 2.8923 90.00 90.00 109.85
Closest atoms and distances in Å follow each position.
Fractional coordinates of all 4 atoms:
Os (0.5000, 0.0000, 0.5000)  2 Ta 2.82, 8 Cl 2.85, 2 Os 2.89
Cl (0.5000, 0.5000, 0.0000)  4 Cl 2.82-2.89, 4 Ta 2.85, 4 Os 2.85
Cl (0.0000, 0.0000, 0.0000)  4 Cl 2.82-2.89, 4 Os 2.85, 4 Ta 2.85
Ta (0.0000, 0.5000, 0.5000)  2 Os 2.82, 8 Cl 2.85, 2 Ta 2.89

Properties
Its symmetry is Cmmm, No. 65. The calculation puts the total energy at -5.464 eV per atom. As for the distance to the lowest polymorph of the same formula: 1.596 eV/atom. The value obtained for the density of states at the Fermi level is 4.480 states/eV/cell. For the formation energy (no corrections), the calculation gives 1.23 eV per atom.

## TaOsCl (PBE)

Data for an optimized crystal structure of TaOsCl.

Lattice parameters (Å, degrees): 4.3479 4.3479 4.3479 60.00 60.00 60.00
Closest atoms and distances in Å follow each position.
Fractional coordinates of all 3 atoms:
Os (0.7500, 0.7500, 0.7500)  4 Ta 2.66, 4 Cl 2.66
Cl (0.5000, 0.5000, 0.5000)  4 Os 2.66
Ta (0.0000, 0.0000, 0.0000)  4 Os 2.66

Properties
Its symmetry is F-43m, No. 216. The calculation puts the total energy at -7.581 eV per atom. As for the distance to the lowest polymorph of the same formula: 0.646 eV/atom. The value obtained for the density of states at the Fermi level is 0.479 states/eV/cell. For the formation energy (no corrections), the calculation gives 0.73 eV per atom.

## TaOs2Cl (PBE)

Data for an optimized crystal structure of TaOs2Cl.

Lattice parameters (Å, degrees): 4.4671 4.4671 4.4671 60.00 60.00 60.00
Closest atoms and distances in Å follow each position.
Fractional coordinates of all 4 atoms:
Os (0.0000, 0.0000, 0.0000)  4 Os 2.74, 4 Ta 2.74
Os (0.2500, 0.2500, 0.2500)  4 Os 2.74, 4 Cl 2.74
Ta (0.7500, 0.7500, 0.7500)  4 Os 2.74, 4 Cl 2.74
Cl (0.5000, 0.5000, 0.5000)  4 Os 2.74, 4 Ta 2.74

Properties
Its symmetry is F-43m, No. 216. The calculation puts the total energy at -8.234 eV per atom. As for the distance to the lowest polymorph of the same formula: 0.614 eV/atom. The value obtained for the density of states at the Fermi level is 3.295 states/eV/cell. For the formation energy (no corrections), the calculation gives 0.81 eV per atom.

## TaOsCl (PBE)

Data for an optimized crystal structure of TaOsCl.

Lattice parameters (Å, degrees): 2.9928 2.9928 7.0176 90.00 90.00 120.00
Closest atoms and distances in Å follow each position.
Fractional coordinates of all 3 atoms:
Ta (0.6667, 0.3333, 0.6736)  3 Cl 2.55, 3 Os 2.66
Os (0.3333, 0.6667, 0.3859)  3 Ta 2.66
Cl (0.0000, 0.0000, 0.9405)  3 Ta 2.55

Properties
Its symmetry is P3m1, No. 156. The calculation puts the total energy at -8.226 eV per atom. As for the distance to the lowest polymorph of the same formula: 0.000 eV/atom. The value obtained for the density of states at the Fermi level is 3.327 states/eV/cell. For the formation energy (no corrections), the calculation gives 0.08 eV per atom.

## TaOsCl2 (PBE)

Data for an optimized crystal structure of TaOsCl2.

Lattice parameters (Å, degrees): 8.4491 8.4491 8.4491 20.51 20.51 20.51
Closest atoms and distances in Å follow each position.
Fractional coordinates of all 4 atoms:
Ta (0.5000, 0.5000, 0.5000)  6 Cl 2.53
Cl (0.9076, 0.9076, 0.9076)  1 Os 2.29, 3 Ta 2.53
Cl (0.0924, 0.0924, 0.0924)  1 Os 2.29, 3 Ta 2.53
Os (0.0000, 0.0000, 0.0000)  2 Cl 2.29

Properties
Its symmetry is R-3m, No. 166. The calculation puts the total energy at -6.361 eV per atom. As for the distance to the lowest polymorph of the same formula: 0.699 eV/atom. The value obtained for the density of states at the Fermi level is 2.921 states/eV/cell. For the formation energy (no corrections), the calculation gives 0.33 eV per atom.

## TaOsCl (PBE)

Data for an optimized crystal structure of TaOsCl.

Lattice parameters (Å, degrees): 7.5419 7.2643 3.0078 83.51 73.14 23.34
Closest atoms and distances in Å follow each position.
Fractional coordinates of all 3 atoms:
Os (0.3056, 0.3056, 0.6944)  2 Ta 2.49
Ta (0.6697, 0.6697, 0.3303)  2 Os 2.49, 2 Cl 2.59
Cl (0.0247, 0.0247, 0.9753)  2 Ta 2.59

Properties
Its symmetry is Fmm2, No. 42. The calculation puts the total energy at -8.068 eV per atom. As for the distance to the lowest polymorph of the same formula: 0.159 eV/atom. The value obtained for the density of states at the Fermi level is 2.533 states/eV/cell. For the formation energy (no corrections), the calculation gives 0.24 eV per atom.

Repeat the sixth record exactly.
## TaOsCl (PBE)

Data for an optimized crystal structure of TaOsCl.

Lattice parameters (Å, degrees): 7.5419 7.2643 3.0078 83.51 73.14 23.34
Closest atoms and distances in Å follow each position.
Fractional coordinates of all 3 atoms:
Os (0.3056, 0.3056, 0.6944)  2 Ta 2.49
Ta (0.6697, 0.6697, 0.3303)  2 Os 2.49, 2 Cl 2.59
Cl (0.0247, 0.0247, 0.9753)  2 Ta 2.59

Properties
Its symmetry is Fmm2, No. 42. The calculation puts the total energy at -8.068 eV per atom. As for the distance to the lowest polymorph of the same formula: 0.159 eV/atom. The value obtained for the density of states at the Fermi level is 2.533 states/eV/cell. For the formation energy (no corrections), the calculation gives 0.24 eV per atom.